First-principles (PBE-GGA) data for an optimized crystal structure of MgFe2Hg, as listed in the Alexandria database.

Calculated values
formation energy	0.315	eV/atom
theoretical density	8.83	Mg/m³
magnetization	5.00	μB per formula unit

The structure in POSCAR format:
```
MgFe2Hg
1.0
2.809 0.000 0.000
0.000 4.112 0.000
-0.055 0.000 5.477
Mg Fe Hg
1 2 1
Direct
0.000 0.000 0.000 Mg
0.499 0.500 0.231 Fe
0.501 0.500 0.769 Fe
0.000 0.000 0.500 Hg
```

=====

First-principles (PBE-GGA) data for an optimized crystal structure of AsPt2Au, as listed in the Alexandria database.

Calculated values
formation energy	0.118	eV/atom
theoretical density	16.28	Mg/m³
magnetization	0.00	μB per formula unit

The structure in POSCAR format:
```
AsPt2Au
1.0
4.062 0.000 0.000
0.000 4.062 0.000
0.000 0.000 4.091
As Pt Au
1 2 1
Direct
0.000 0.000 0.000 As
0.000 0.500 0.500 Pt
0.500 0.000 0.500 Pt
0.500 0.500 0.000 Au
```

=====

First-principles (PBE-GGA) data for an optimized crystal structure of NaPmGa2, as listed in the Alexandria database.

Calculated values
formation energy	-0.303	eV/atom
theoretical density	5.49	Mg/m³
magnetization	0.00	μB per formula unit

The structure in POSCAR format:
```
NaPmGa2
1.0
0.000 3.596 3.596
3.596 0.000 3.596
3.596 3.596 0.000
Na Pm Ga
1 1 2
Direct
0.000 0.000 0.000 Na
0.500 0.500 0.500 Pm
0.250 0.250 0.250 Ga
0.750 0.750 0.750 Ga
```

=====

First-principles (PBE-GGA) data for an optimized crystal structure of CeGaCl4, as listed in the Alexandria database.

Calculated values
raw formation energy	-1.67	eV per atom
theoretical density	2.89	Mg/m³
magnetization	1.00	μB per formula unit

The structure in POSCAR format:
```
CeGaCl4
1.0
7.507 0.000 0.000
0.000 10.209 0.000
0.000 0.000 10.560
Ce Ga Cl
4 4 16
Direct
0.000 0.000 0.000 Ce
0.000 0.000 0.500 Ce
0.000 0.500 0.000 Ce
0.000 0.500 0.500 Ce
0.445 0.233 0.250 Ga
0.445 0.267 0.750 Ga
0.555 0.733 0.250 Ga
0.555 0.767 0.750 Ga
0.124 0.044 0.250 Cl
0.124 0.456 0.750 Cl
0.154 0.750 0.000 Cl
0.154 0.750 0.500 Cl
0.317 0.092 0.581 Cl
0.317 0.092 0.919 Cl
0.317 0.408 0.081 Cl
0.317 0.408 0.419 Cl
0.683 0.592 0.581 Cl
0.683 0.592 0.919 Cl
0.683 0.908 0.081 Cl
0.683 0.908 0.419 Cl
0.846 0.250 0.000 Cl
0.846 0.250 0.500 Cl
0.876 0.544 0.250 Cl
0.876 0.956 0.750 Cl
```